Ba2MnReO6 | Alexandria via LeMat-Bulk | PBE with a Hubbard U | relaxed; density = 6.898 g cm⁻³; V = 294.6 Å³ per cell; E_tot = -150.59 eV per cell; space-group type = R-3m, No. 166; M_tot = 7.98 Bohr magnetons per cell
1.0
-3.2807 -4.1352 2.6867
2.0601 -2.7367 4.8320
-4.4370 4.5346 8.0901
Ba Mn Re O
4 2 2 12
Direct
0.8709 0.8709 0.3873
0.1291 0.1291 0.6127
0.7181 0.7181 0.8456
0.2819 0.2819 0.1544
0.5950 0.5950 0.2149
0.4050 0.4050 0.7851
0.0000 0.0000 0.0000
0.5000 0.5000 0.5000
0.8494 0.3837 0.3831
0.3837 0.8494 0.3831
0.3837 0.3837 0.3831
0.1506 0.6163 0.6169
0.6163 0.1506 0.6169
0.6163 0.6163 0.6169
0.7290 0.1929 0.8852
0.1929 0.7290 0.8852
0.1929 0.1929 0.8852
0.2710 0.8071 0.1148
0.8071 0.2710 0.1148
0.8071 0.8071 0.1148